[1]
The following is a DFT calculation (GGA-PBE) of a relaxed structure of LiAc2Y.

The calculation puts the formation energy at 0.087 eV per atom. As for the crystal system: trigonal. The electronic total energy is -48.7 eV/cell.

It has space group R3m (No. 160, hexagonal axes), with a = 3.8267 Å, b = 3.8267 Å, c = 35.3729 Å, α = 90.00°, β = 90.00° and γ = 120.00°. The distinct sites, in fractional coordinates, are Li at (0.0000, 0.0000, 0.0000), Ac at (0.0000, 0.0000, 0.4150), Ac at (0.0000, 0.0000, 0.5838) and Y at (0.0000, 0.0000, 0.8326).

***

[2]
The following is a DFT calculation (GGA-PBE) of a relaxed structure of LiAc2Y.

The calculation puts the formation energy at 0.134 eV per atom. As for the crystal system: cubic. The electronic total energy is -64.2 eV/cell.

It has space group Fm-3m (No. 225), with a = 8.3603 Å, b = 8.3603 Å, c = 8.3603 Å, α = 90.00°, β = 90.00° and γ = 90.00°. The distinct sites, in fractional coordinates, are Li at (0.0000, 0.0000, 0.0000), Ac at (0.2500, 0.2500, 0.2500) and Y at (0.0000, 0.0000, 0.5000).

***

[3]
The following is a DFT calculation (GGA-PBE) of a relaxed structure of Li3AcZn2.

The calculation puts the formation energy at -0.119 eV per atom. As for the crystal system: monoclinic. The electronic total energy is -52.5 eV/cell.

It has space group C2/m (No. 12), with a = 15.0732 Å, b = 4.3826 Å, c = 8.9992 Å, α = 90.00°, β = 116.71° and γ = 90.00°. The distinct sites, in fractional coordinates, are Li at (0.0468, 0.0000, 0.3722), Li at (0.0817, 0.5000, 0.6676), Li at (0.1871, 0.5000, 0.4679), Ac at (0.1520, 0.0000, 0.0556), Zn at (0.0299, 0.5000, 0.1680) and Zn at (0.1916, 0.0000, 0.6915).

***

[4]
The following is a DFT calculation (GGA-PBE) of a relaxed structure of Li2AcZn.

The calculation puts the formation energy at -0.013 eV per atom. As for the crystal system: trigonal. The electronic total energy is -27.8 eV/cell.

It has space group R-3m (No. 166, hexagonal axes), with a = 4.5999 Å, b = 4.5999 Å, c = 15.9878 Å, α = 90.00°, β = 90.00° and γ = 120.00°. The distinct sites, in fractional coordinates, are Li at (0.0000, 0.0000, 0.2029), Ac at (0.0000, 0.0000, 0.0000) and Zn at (0.0000, 0.0000, 0.5000).

***

> Among the records above, which one has the highest electronic total energy?

Li2AcZn

***

> Number 1 is which compound?

LiAc2Y

***

> Among the records above, which one has the highest electronic total energy?

Li2AcZn